1.
Ba2HoTc3O12 | GGA-PBE | optimized geometry

Uncorrected formation energy = -1.97 eV per atom
Size of the total moment = 0.83 μB/f.u.
Symmetry = R-3m, No. 166
E_tot = -7.466 eV per atom

Cell lengths 7.0296, 7.0296, 7.0296 Å; angles 63.51, 63.51, 63.51 degrees
With the nearest neighbours (Å) after each atom.
Element x y z (fractional)
O 0.0896 0.7091 0.7091  2 Tc 1.93
O 0.1152 0.6108 0.1152  1 Tc 1.90
O 0.9104 0.2909 0.2909  2 Tc 1.93
O 0.6108 0.1152 0.1152  1 Tc 1.90
O 0.8848 0.3892 0.8848  1 Tc 1.90
O 0.7091 0.7091 0.0896  2 Tc 1.93
O 0.3892 0.8848 0.8848  1 Tc 1.90
O 0.8848 0.8848 0.3892  1 Tc 1.90
O 0.2909 0.2909 0.9104  2 Tc 1.93
O 0.1152 0.1152 0.6108  1 Tc 1.90
O 0.2909 0.9104 0.2909  2 Tc 1.93
O 0.7091 0.0896 0.7091  2 Tc 1.93
Ba 0.6217 0.6217 0.6217  3 O 2.68
Ba 0.3783 0.3783 0.3783  3 O 2.68
Tc 0.0000 0.0000 0.5000  6 O 1.90-1.93
Tc 0.0000 0.5000 0.0000  6 O 1.90-1.93
Tc 0.5000 0.0000 0.0000  6 O 1.90-1.93
Ho 0.0000 0.0000 0.0000  6 O 2.33

---

2.
Ba2HoTe3O12 | GGA-PBE | optimized geometry

Uncorrected formation energy = -1.78 eV per atom
Size of the total moment = 0.00 μB/f.u.
Symmetry = R-3m, No. 166
E_tot = -6.081 eV per atom

Cell lengths 7.3551, 7.3551, 7.3551 Å; angles 61.13, 61.13, 61.13 degrees
With the nearest neighbours (Å) after each atom.
Element x y z (fractional)
O 0.1003 0.1003 0.6262  1 Te 1.95
O 0.6932 0.0960 0.6932  2 Te 1.99
O 0.6932 0.6932 0.0960  2 Te 1.99
O 0.3738 0.8997 0.8997  1 Te 1.95
O 0.3068 0.9040 0.3068  2 Te 1.99
O 0.8997 0.3738 0.8997  1 Te 1.95
O 0.0960 0.6932 0.6932  2 Te 1.99
O 0.6262 0.1003 0.1003  1 Te 1.95
O 0.8997 0.8997 0.3738  1 Te 1.95
O 0.9040 0.3068 0.3068  2 Te 1.99
O 0.3068 0.3068 0.9040  2 Te 1.99
O 0.1003 0.6262 0.1003  1 Te 1.95
Ba 0.6319 0.6319 0.6319  3 O 2.81
Ba 0.3681 0.3681 0.3681  3 O 2.81
Te 0.0000 0.5000 0.0000  6 O 1.95-1.99
Te 0.0000 0.0000 0.5000  6 O 1.95-1.99
Te 0.5000 0.0000 0.0000  6 O 1.95-1.99
Ho 0.0000 0.0000 0.0000  6 O 2.29

---

3.
Ba3HoTi2O8 | GGA-PBE | optimized geometry

Uncorrected formation energy = -2.99 eV per atom
Size of the total moment = 0.22 μB/f.u.
Symmetry = P-3m1, No. 164
E_tot = -7.692 eV per atom

Cell lengths 6.0234, 6.0234, 7.6923 Å; angles 90.00, 90.00, 120.00 degrees
With the nearest neighbours (Å) after each atom.
Element x y z (fractional)
O 0.3395 0.1698 0.6828  1 Ti 1.88
O 0.8302 0.6605 0.6828  1 Ti 1.88
O 0.3333 0.6667 0.9811  1 Ti 1.79
O 0.1698 0.8302 0.3172  1 Ti 1.88
O 0.1698 0.3395 0.3172  1 Ti 1.88
O 0.8302 0.1698 0.6828  1 Ti 1.88
O 0.6605 0.8302 0.3172  1 Ti 1.88
O 0.6667 0.3333 0.0189  1 Ti 1.79
Ti 0.3333 0.6667 0.2140  4 O 1.79-1.88
Ti 0.6667 0.3333 0.7860  4 O 1.79-1.88
Ba 0.0000 0.0000 0.0000  6 O 3.02
Ba 0.3333 0.6667 0.6585  1 O 2.48
Ba 0.6667 0.3333 0.3415  1 O 2.48
Ho 0.0000 0.0000 0.5000  6 O 2.26

---

4.
Ba3HoTi2O9 | GGA-PBE | optimized geometry

Uncorrected formation energy = -2.99 eV per atom
Size of the total moment = 1.00 μB/f.u.
Symmetry = P-3m1, No. 164
E_tot = -7.703 eV per atom

Cell lengths 5.8851, 5.8851, 7.2568 Å; angles 90.00, 90.00, 120.00 degrees
With the nearest neighbours (Å) after each atom.
Element x y z (fractional)
Ti 0.3333 0.6667 0.1723  6 O 1.92-2.11
Ti 0.6667 0.3333 0.8277  6 O 1.92-2.11
O 0.5000 0.0000 0.0000  2 Ti 2.11
O 0.1763 0.3525 0.3171  1 Ti 1.92
O 0.8237 0.1763 0.6829  1 Ti 1.92
O 0.6475 0.8237 0.3171  1 Ti 1.92
O 0.3525 0.1763 0.6829  1 Ti 1.92
O 0.5000 0.5000 0.0000  2 Ti 2.11
O 0.8237 0.6475 0.6829  1 Ti 1.92
O 0.0000 0.5000 0.0000  2 Ti 2.11
O 0.1763 0.8237 0.3171  1 Ti 1.92
Ba 0.6667 0.3333 0.3194  12 O 2.87-3.09
Ba 0.3333 0.6667 0.6806  12 O 2.87-3.09
Ba 0.0000 0.0000 0.0000  12 O 2.92-2.94
Ho 0.0000 0.0000 0.5000  6 O 2.23

---

5.
BaHo4Tl3O12 | GGA-PBE | optimized geometry

Uncorrected formation energy = -2.25 eV per atom
Size of the total moment = 1.01 μB/f.u.
Symmetry = Im-3, No. 204
E_tot = -6.590 eV per atom

Cell lengths 7.3521, 7.3521, 7.3521 Å; angles 109.47, 109.47, 109.47 degrees
With the nearest neighbours (Å) after each atom.
Element x y z (fractional)
O 0.8252 0.5177 0.6925  1 Tl 2.21, 2 Ho 2.27
O 0.4823 0.3075 0.1748  1 Tl 2.21, 2 Ho 2.27
O 0.1748 0.8674 0.6925  1 Tl 2.21, 2 Ho 2.27
O 0.1748 0.4823 0.3075  1 Tl 2.21, 2 Ho 2.27
O 0.6925 0.8252 0.5177  1 Tl 2.21, 2 Ho 2.27
O 0.3075 0.1748 0.4823  1 Tl 2.21, 2 Ho 2.27
O 0.5177 0.6925 0.8252  1 Tl 2.21, 2 Ho 2.27
O 0.8674 0.6925 0.1748  1 Tl 2.21, 2 Ho 2.27
O 0.6925 0.1748 0.8674  1 Tl 2.21, 2 Ho 2.27
O 0.3075 0.8252 0.1326  1 Tl 2.21, 2 Ho 2.27
O 0.1326 0.3075 0.8252  1 Tl 2.21, 2 Ho 2.27
O 0.8252 0.1326 0.3075  1 Tl 2.21, 2 Ho 2.27
Tl 0.5000 0.0000 0.5000  4 O 2.21
Tl 0.0000 0.5000 0.5000  4 O 2.21
Tl 0.5000 0.5000 0.0000  4 O 2.21
Ho 0.0000 0.0000 0.5000  6 O 2.27
Ho 0.5000 0.5000 0.5000  6 O 2.27
Ho 0.5000 0.0000 0.0000  6 O 2.27
Ho 0.0000 0.5000 0.0000  6 O 2.27
Ba 0.0000 0.0000 0.0000  12 O 3.00

---

6.
Ba4HoTl3O12 | GGA-PBE | optimized geometry

Uncorrected formation energy = -1.64 eV per atom
Size of the total moment = 0.00 μB/f.u.
Symmetry = Im-3m, No. 229
E_tot = -5.587 eV per atom

Cell lengths 7.5440, 7.5440, 7.5440 Å; angles 109.47, 109.47, 109.47 degrees
With the nearest neighbours (Å) after each atom.
Element x y z (fractional)
Tl 0.0000 0.5000 0.5000  6 O 2.16-2.18
Tl 0.5000 0.0000 0.5000  6 O 2.16-2.18
Tl 0.5000 0.5000 0.0000  6 O 2.16-2.18
Ba 0.5000 0.5000 0.5000  12 O 3.08
Ba 0.0000 0.0000 0.5000  12 O 3.08
Ba 0.0000 0.5000 0.0000  12 O 3.08
Ba 0.5000 0.0000 0.0000  12 O 3.08
O 0.0000 0.7481 0.7481  1 Tl 2.16, 1 Ho 2.19
O 0.5000 0.2500 0.7500  2 Tl 2.18
O 0.7500 0.5000 0.2500  2 Tl 2.18
O 0.7481 0.7481 0.0000  1 Tl 2.16, 1 Ho 2.19
O 0.2519 0.0000 0.2519  1 Tl 2.16, 1 Ho 2.19
O 0.7500 0.2500 0.5000  2 Tl 2.18
O 0.2519 0.2519 0.0000  1 Tl 2.16, 1 Ho 2.19
O 0.0000 0.2519 0.2519  1 Tl 2.16, 1 Ho 2.19
O 0.5000 0.7500 0.2500  2 Tl 2.18
O 0.2500 0.5000 0.7500  2 Tl 2.18
O 0.7481 0.0000 0.7481  1 Tl 2.16, 1 Ho 2.19
O 0.2500 0.7500 0.5000  2 Tl 2.18
Ho 0.0000 0.0000 0.0000  6 O 2.19